Material: YBeAs2
Method: DFT, GGA-PBE
State: optimized geometry

Cell and atoms, written as extended XYZ:
```
4
Lattice="4.7976 0.0000 0.0000 2.3988 4.1548 0.0000 2.3988 1.3849 3.9172" Properties=species:S:1:pos:R:3 pbc="T T T"
Y 7.1964 4.1548 2.9379
Be 4.7976 2.7699 1.9586
As 0.0000 0.0000 0.0000
As 2.3988 1.3849 0.9793
```

Values from the calculation:
* space-group type: No. 216
* N(E_F): 2.617 states/eV/cell
* final energy: -19.20 eV for the cell shown



Material: Y2BeAs
Method: DFT, GGA-PBE
State: optimized geometry

Cell and atoms, written as extended XYZ:
```
8
Lattice="-6.6213 3.3516 -0.3994 -1.1784 -3.1194 -6.6419 -5.3946 -2.6505 -1.9561" Properties=species:S:1:pos:R:3 pbc="T T T"
Y -5.5882 1.0189 -1.5661
Y -2.9589 -2.1700 -4.6929
Y -6.9790 -1.9225 -4.1538
Y -10.8625 -1.7630 -7.5820
Be -3.8999 0.1161 -3.5206
Be -5.2364 -2.8269 -6.0593
As 0.0000 0.0000 0.0000
As -7.9579 0.4086 -2.9381
```

Values from the calculation:
* space-group type: No. 122
* offset from the most stable computed form: 492 meV per atom
* N(E_F): 3.958 states/eV/cell



Material: YBeAs4
Method: DFT, GGA-PBE
State: optimized geometry

Cell and atoms, written as extended XYZ:
```
6
Lattice="0.0000 3.9296 3.9296 3.9296 0.0000 3.9296 3.9296 3.9296 0.0000" Properties=species:S:1:pos:R:3 pbc="T T T"
Y 0.0000 0.0000 0.0000
Be 5.8944 5.8944 5.8944
As 2.9643 4.8950 4.8950
As 4.8950 4.8950 2.9643
As 4.8950 2.9643 4.8950
As 2.9643 2.9643 2.9643
```

Values from the calculation:
* space-group type: No. 216
* N(E_F): 3.628 states/eV/cell
* final energy: -27.64 eV for the cell shown



Please write out number 3 again, unchanged.
Material: YBeAs4
Method: DFT, GGA-PBE
State: optimized geometry

Cell and atoms, written as extended XYZ:
```
6
Lattice="0.0000 3.9296 3.9296 3.9296 0.0000 3.9296 3.9296 3.9296 0.0000" Properties=species:S:1:pos:R:3 pbc="T T T"
Y 0.0000 0.0000 0.0000
Be 5.8944 5.8944 5.8944
As 2.9643 4.8950 4.8950
As 4.8950 4.8950 2.9643
As 4.8950 2.9643 4.8950
As 2.9643 2.9643 2.9643
```

Values from the calculation:
* space-group type: No. 216
* N(E_F): 3.628 states/eV/cell
* final energy: -27.64 eV for the cell shown



Please write out number 3 again, unchanged.
Material: YBeAs4
Method: DFT, GGA-PBE
State: optimized geometry

Cell and atoms, written as extended XYZ:
```
6
Lattice="0.0000 3.9296 3.9296 3.9296 0.0000 3.9296 3.9296 3.9296 0.0000" Properties=species:S:1:pos:R:3 pbc="T T T"
Y 0.0000 0.0000 0.0000
Be 5.8944 5.8944 5.8944
As 2.9643 4.8950 4.8950
As 4.8950 4.8950 2.9643
As 4.8950 2.9643 4.8950
As 2.9643 2.9643 2.9643
```

Values from the calculation:
* space-group type: No. 216
* N(E_F): 3.628 states/eV/cell
* final energy: -27.64 eV for the cell shown